No. 1
Ti4HPt | PBE | optimized geometry

Lattice parameters (Å, degrees): 5.1920 4.9943 6.9960 90.00 107.40 90.00
Closest atoms and distances in Å follow each position.
Atoms (fractional coordinates):
Ti 0.0663 0.1383 0.1989  2 H 2.24-2.34
Ti 0.0663 0.3617 0.6989  2 H 2.24-2.34
Ti 0.3503 0.5685 0.1238  1 H 1.80
Ti 0.3503 0.9315 0.6238  1 H 1.80
Ti 0.6497 0.0685 0.3762  1 H 1.80
Ti 0.6497 0.4315 0.8762  1 H 1.80
Ti 0.9337 0.6383 0.3011  2 H 2.24-2.34
Ti 0.9337 0.8617 0.8011  2 H 2.24-2.34
H 0.0000 0.0000 0.5000  2 Ti 1.80
H 0.0000 0.5000 0.0000  2 Ti 1.80
Pt 0.5000 0.0000 0.0000  4 Ti 2.53
Pt 0.5000 0.5000 0.5000  4 Ti 2.53

Properties
Space group = P2_1/c
Electronic total energy = -7.117 eV/atom
Crystal system = monoclinic

No. 2
TiHPt3 | PBE | optimized geometry

Lattice parameters (Å, degrees): 4.0217 4.0217 4.0217 90.00 90.00 90.00
Closest atoms and distances in Å follow each position.
Atoms (fractional coordinates):
Ti 0.0000 0.0000 0.0000  12 Pt 2.84
H 0.5000 0.5000 0.5000  6 Pt 2.01
Pt 0.0000 0.5000 0.5000  2 H 2.01
Pt 0.5000 0.0000 0.5000  2 H 2.01
Pt 0.5000 0.5000 0.0000  2 H 2.01

Properties
Space group = Pm-3m
Electronic total energy = -6.302 eV/atom
Energy relative to the lowest polymorph listed for this composition = 0 meV per atom
Crystal system = cubic

No. 3
Ti3HPt | PBE | optimized geometry

Lattice parameters (Å, degrees): 4.8591 4.8591 4.8591 90.00 90.00 90.00
Closest atoms and distances in Å follow each position.
Atoms (fractional coordinates):
Ti 0.0000 0.0000 0.5000  2 Pt 2.43
Ti 0.0000 0.5000 0.0000  2 Pt 2.43
Ti 0.5000 0.0000 0.0000  2 Pt 2.43
H 0.5000 0.5000 0.5000  12 Ti 3.44
Pt 0.0000 0.0000 0.0000  6 Ti 2.43

Properties
Space group = Pm-3m
Electronic total energy = -5.713 eV/atom
Energy relative to the lowest polymorph listed for this composition = 1452 meV per atom
Crystal system = cubic

No. 4
Ti2HPt | PBE | optimized geometry

Lattice parameters (Å, degrees): 6.2921 6.2921 6.2921 136.61 136.61 63.04
Closest atoms and distances in Å follow each position.
Atoms (fractional coordinates):
Ti 0.3750 0.2247 0.3497  2 H 1.83
Ti 0.7753 0.1250 0.1503  2 H 1.83
Ti 0.8750 0.0253 0.6503  2 H 1.83
Ti 0.9747 0.6250 0.8497  2 H 1.83
H 0.0000 0.0000 0.0000  4 Ti 1.83
H 0.7500 0.2500 0.5000  4 Ti 1.83
Pt 0.2500 0.7500 0.5000  4 Ti 2.57
Pt 0.5000 0.5000 0.0000  4 Ti 2.57

Properties
Space group = I-42d
Electronic total energy = -6.435 eV/atom
Crystal system = tetragonal

No. 5
Ti2HPt | PBE | optimized geometry

Lattice parameters (Å, degrees): 5.8513 3.8626 8.7684 90.00 90.00 90.00
Closest atoms and distances in Å follow each position.
Atoms (fractional coordinates):
Ti 0.1271 0.2500 0.0730  3 H 1.97-2.00
Ti 0.1267 0.2500 0.7295  2 H 1.89-2.01
Ti 0.3733 0.7500 0.2295  2 H 1.89-2.01
Ti 0.3729 0.7500 0.5730  3 H 1.97-2.00
Ti 0.6271 0.2500 0.4270  3 H 1.97-2.00
Ti 0.6267 0.2500 0.7705  2 H 1.89-2.01
Ti 0.8733 0.7500 0.2705  2 H 1.89-2.01
Ti 0.8729 0.7500 0.9270  3 H 1.97-2.00
H 0.0832 0.7500 0.1068  5 Ti 1.89-2.01
H 0.4168 0.2500 0.6068  5 Ti 1.89-2.01
H 0.5832 0.7500 0.3932  5 Ti 1.89-2.01
H 0.9168 0.2500 0.8932  5 Ti 1.89-2.01
Pt 0.1180 0.2500 0.4030  1 H 2.50, 2 Ti 2.67
Pt 0.3820 0.7500 0.9030  1 H 2.50, 2 Ti 2.67
Pt 0.6180 0.2500 0.0970  1 H 2.50, 2 Ti 2.67
Pt 0.8820 0.7500 0.5970  1 H 2.50, 2 Ti 2.67

Properties
Space group = Pnma
Electronic total energy = -6.934 eV/atom
Crystal system = orthorhombic

No. 6
Ti4HPt2 | PBE | optimized geometry

Lattice parameters (Å, degrees): 5.0161 2.7863 7.3877 90.00 103.96 90.00
Closest atoms and distances in Å follow each position.
Atoms (fractional coordinates):
Ti 0.0000 0.0000 0.0000  2 H 1.96
Ti 0.0788 0.5000 0.6329  1 H 1.91
Ti 0.3904 0.5000 0.3371  6 Pt 2.70-2.93, 3 Ti 2.79-2.98
Ti 0.4831 0.0000 0.9843  2 H 1.99
H 0.1973 0.5000 0.8987  5 Ti 1.91-1.99
Pt 0.6012 0.0000 0.6526  8 Ti 2.66-2.94, 2 Pt 2.79
Pt 0.8723 0.0000 0.3210  6 Ti 2.60-2.82, 2 Pt 2.79

Properties
Space group = Pm
Electronic total energy = -7.209 eV/atom
Energy relative to the lowest polymorph listed for this composition = 86 meV per atom
Crystal system = monoclinic

No. 7
TiHPt | PBE | optimized geometry

Lattice parameters (Å, degrees): 2.9047 2.9047 4.6291 90.00 90.00 120.00
Closest atoms and distances in Å follow each position.
Atoms (fractional coordinates):
Ti 0.0000 0.0000 0.0000  3 H 1.84
H 0.6667 0.3333 0.1616  3 Ti 1.84
Pt 0.3333 0.6667 0.5403  3 H 2.43, 3 Ti 2.71

Properties
Space group = P3m1
Electronic total energy = -6.263 eV/atom
Energy relative to the lowest polymorph listed for this composition = 180 meV per atom
Crystal system = trigonal

No. 8
Ti3H3Pt | PBE | optimized geometry

Lattice parameters (Å, degrees): 7.2033 7.2033 7.2033 42.99 42.99 42.99
Closest atoms and distances in Å follow each position.
Atoms (fractional coordinates):
Ti 0.0996 0.4255 0.7744  4 H 1.89-1.91
Ti 0.2256 0.9004 0.5745  4 H 1.89-1.91
Ti 0.4255 0.7744 0.0996  4 H 1.89-1.91
Ti 0.5745 0.2256 0.9004  4 H 1.89-1.91
Ti 0.7744 0.0996 0.4255  4 H 1.89-1.91
Ti 0.9004 0.5745 0.2256  4 H 1.89-1.91
H 0.1356 0.7965 0.4756  4 Ti 1.89-1.91
H 0.2035 0.5244 0.8644  4 Ti 1.89-1.91
H 0.4756 0.1356 0.7965  4 Ti 1.89-1.91
H 0.5244 0.8644 0.2035  4 Ti 1.89-1.91
H 0.7965 0.4756 0.1356  4 Ti 1.89-1.91
H 0.8644 0.2035 0.5244  4 Ti 1.89-1.91
Pt 0.3332 0.3332 0.3332  6 Ti 2.64-2.65
Pt 0.6668 0.6668 0.6668  6 Ti 2.64-2.65

Properties
Space group = R-3
Electronic total energy = -6.067 eV/atom
Energy relative to the lowest polymorph listed for this composition = 205 meV per atom
Crystal system = trigonal

No. 9
Ti2H3Pt | PBE | optimized geometry

Lattice parameters (Å, degrees): 5.9276 5.9276 7.1039 110.46 110.46 28.66
Closest atoms and distances in Å follow each position.
Atoms (fractional coordinates):
Ti 0.0318 0.0318 0.2244  4 H 1.83-1.93
Ti 0.3269 0.3269 0.3667  6 H 1.80-1.99
Ti 0.6731 0.6731 0.6333  6 H 1.80-1.99
Ti 0.9682 0.9682 0.7756  4 H 1.83-1.93
H 0.0999 0.0999 0.6889  3 Ti 1.80-1.83
H 0.1827 0.1827 0.4600  4 Ti 1.93-1.99, 2 H 2.06
H 0.4692 0.4692 0.6150  3 Ti 1.86-1.92, 3 H 2.00-2.03
H 0.5308 0.5308 0.3850  3 Ti 1.86-1.92, 3 H 2.00-2.03
H 0.8173 0.8173 0.5400  4 Ti 1.93-1.99, 2 H 2.06
H 0.9001 0.9001 0.3111  3 Ti 1.80-1.83
Pt 0.3412 0.3412 0.9512  6 Ti 2.67-2.80, 3 H 2.73-2.81, 4 Pt 2.84-2.93
Pt 0.6588 0.6588 0.0488  6 Ti 2.67-2.80, 3 H 2.73-2.81, 4 Pt 2.84-2.93

Properties
Space group = C2/m
Electronic total energy = -5.838 eV/atom
Crystal system = monoclinic

No. 10
Ti2VHPt | PBE | optimized geometry

Lattice parameters (Å, degrees): 4.2695 4.2695 3.4502 90.00 90.00 90.00
Closest atoms and distances in Å follow each position.
Atoms (fractional coordinates):
Ti 0.0000 0.5000 0.0000  2 H 2.13
Ti 0.5000 0.0000 0.0000  2 H 2.13
V 0.0000 0.0000 0.5000  2 H 1.73
H 0.0000 0.0000 0.0000  2 V 1.73
Pt 0.5000 0.5000 0.5000  8 Ti 2.74, 4 V 3.02

Properties
Space group = P4/mmm
Electronic total energy = -7.369 eV/atom
Crystal system = tetragonal

No. 11
TiHPtW2 | PBE | optimized geometry

Lattice parameters (Å, degrees): 3.9056 3.9056 4.3367 90.00 90.00 90.00
Closest atoms and distances in Å follow each position.
Atoms (fractional coordinates):
Ti 0.0000 0.0000 0.0000  4 Pt 2.76, 8 W 2.92
H 0.5000 0.5000 0.5000  4 W 1.95, 2 Pt 2.17
Pt 0.5000 0.5000 0.0000  2 H 2.17
W 0.0000 0.5000 0.5000  2 H 1.95
W 0.5000 0.0000 0.5000  2 H 1.95

Properties
Space group = P4/mmm
Electronic total energy = -8.703 eV/atom
Crystal system = tetragonal

No. 12
Ti2HPtW | PBE | optimized geometry

Lattice parameters (Å, degrees): 4.2766 4.2766 3.5900 90.00 90.00 90.00
Closest atoms and distances in Å follow each position.
Atoms (fractional coordinates):
Ti 0.0000 0.5000 0.0000  2 H 2.14
Ti 0.5000 0.0000 0.0000  2 H 2.14
H 0.0000 0.0000 0.0000  2 W 1.79
Pt 0.5000 0.5000 0.5000  8 Ti 2.79, 4 W 3.02
W 0.0000 0.0000 0.5000  2 H 1.79

Properties
Space group = P4/mmm
Electronic total energy = -8.019 eV/atom
Crystal system = tetragonal

No. 13
TiZn2HPt | PBE | optimized geometry

Lattice parameters (Å, degrees): 4.0573 4.0573 3.7944 90.00 90.00 90.00
Closest atoms and distances in Å follow each position.
Atoms (fractional coordinates):
Ti 0.0000 0.0000 0.0000  2 H 1.90
Zn 0.0000 0.5000 0.5000  2 H 2.03
Zn 0.5000 0.0000 0.5000  2 H 2.03
H 0.0000 0.0000 0.5000  2 Ti 1.90, 4 Zn 2.03
Pt 0.5000 0.5000 0.0000  8 Zn 2.78, 4 Ti 2.87

Properties
Space group = P4/mmm
Electronic total energy = -4.275 eV/atom
Crystal system = tetragonal

No. 14
TiZnHPt2 | PBE | optimized geometry

Lattice parameters (Å, degrees): 3.9675 3.9675 4.0715 90.00 90.00 90.00
Closest atoms and distances in Å follow each position.
Atoms (fractional coordinates):
Ti 0.0000 0.0000 0.0000  2 H 2.04
Zn 0.5000 0.5000 0.0000  4 Ti 2.81, 8 Pt 2.84
H 0.0000 0.0000 0.5000  4 Pt 1.98, 2 Ti 2.04
Pt 0.0000 0.5000 0.5000  2 H 1.98
Pt 0.5000 0.0000 0.5000  2 H 1.98

Properties
Space group = P4/mmm
Electronic total energy = -5.291 eV/atom
Crystal system = tetragonal

No. 15
ZrTi2HPt | PBE | optimized geometry

Lattice parameters (Å, degrees): 4.0432 4.0432 4.4162 90.00 90.00 90.00
Closest atoms and distances in Å follow each position.
Atoms (fractional coordinates):
Zr 0.0000 0.0000 0.0000  2 H 2.21
Ti 0.0000 0.5000 0.5000  2 H 2.02
Ti 0.5000 0.0000 0.5000  2 H 2.02
H 0.0000 0.0000 0.5000  4 Ti 2.02, 2 Zr 2.21
Pt 0.5000 0.5000 0.0000  4 Zr 2.86, 8 Ti 2.99

Properties
Space group = P4/mmm
Electronic total energy = -7.256 eV/atom
Crystal system = tetragonal

No. 16
TlHPt | PBE | optimized geometry

Lattice parameters (Å, degrees): 6.0021 6.0021 3.8872 90.00 90.00 126.37
Closest atoms and distances in Å follow each position.
Atoms (fractional coordinates):
Tl 0.1632 0.8368 0.0000  4 Pt 2.93, 2 H 3.21
Tl 0.8368 0.1632 0.0000  4 Pt 2.93, 2 H 3.21
H 0.4022 0.5978 0.5000  2 Pt 1.74
H 0.5978 0.4022 0.5000  2 Pt 1.74
Pt 0.2438 0.2438 0.5000  2 H 1.74
Pt 0.7562 0.7562 0.5000  2 H 1.74

Properties
Space group = Cmmm
Electronic total energy = -3.922 eV/atom
Energy relative to the lowest polymorph listed for this composition = 38 meV per atom
Crystal system = orthorhombic

No. 17
TlH7Pt2 | PBE | optimized geometry

Lattice parameters (Å, degrees): 5.7684 5.7684 3.5898 90.00 90.00 125.58
Closest atoms and distances in Å follow each position.
Atoms (fractional coordinates):
Tl 0.0000 0.0000 0.0000  8 H 2.61
H 0.0166 0.3380 0.5000  2 Pt 1.71-1.88, 1 H 1.87
H 0.3308 0.6692 0.0000  2 Pt 1.80
H 0.3380 0.0166 0.5000  2 Pt 1.71-1.88, 1 H 1.87
H 0.5000 0.5000 0.5000  2 Pt 1.85
H 0.6620 0.9834 0.5000  2 Pt 1.71-1.88, 1 H 1.87
H 0.6692 0.3308 0.0000  2 Pt 1.80
H 0.9834 0.6620 0.5000  2 Pt 1.71-1.88, 1 H 1.87
Pt 0.3194 0.6806 0.5000  7 H 1.71-1.88
Pt 0.6806 0.3194 0.5000  7 H 1.71-1.88

Properties
Space group = Cmmm
Electronic total energy = -3.750 eV/atom
Crystal system = orthorhombic

No. 18
TlH2Pt | PBE | optimized geometry

Lattice parameters (Å, degrees): 5.4411 5.4411 5.4411 119.76 119.76 90.42
Closest atoms and distances in Å follow each position.
Atoms (fractional coordinates):
Tl 0.0000 0.0000 0.0000  4 H 2.84
Tl 0.7500 0.2500 0.5000  4 H 2.84
H 0.2967 0.6250 0.1717  2 Pt 1.72
H 0.3750 0.5467 0.6717  2 Pt 1.72
H 0.4533 0.1250 0.8283  2 Pt 1.72
H 0.8750 0.7033 0.3283  2 Pt 1.72
Pt 0.2500 0.7500 0.5000  4 H 1.72
Pt 0.5000 0.5000 0.0000  4 H 1.72

Properties
Space group = I-42d
Electronic total energy = -3.705 eV/atom
Energy relative to the lowest polymorph listed for this composition = 138 meV per atom
Crystal system = tetragonal

No. 19
TlH2Pt | PBE | optimized geometry

Lattice parameters (Å, degrees): 5.4404 5.4404 5.4612 90.08 90.08 128.13
Closest atoms and distances in Å follow each position.
Atoms (fractional coordinates):
Tl 0.2066 0.7934 0.7500  4 H 2.74, 1 Pt 2.94
Tl 0.7934 0.2066 0.2500  4 H 2.74, 1 Pt 2.94
H 0.2635 0.2638 0.9996  2 Pt 1.77
H 0.2638 0.2635 0.4996  2 Pt 1.77
H 0.7362 0.7365 0.5004  2 Pt 1.77
H 0.7365 0.7362 0.0004  2 Pt 1.77
Pt 0.4930 0.5070 0.2500  4 H 1.77
Pt 0.5070 0.4930 0.7500  4 H 1.77

Properties
Space group = C2/c
Electronic total energy = -3.842 eV/atom
Energy relative to the lowest polymorph listed for this composition = 0 meV per atom
Crystal system = monoclinic

No. 20
TlH4Pt | PBE | optimized geometry

Lattice parameters (Å, degrees): 7.5100 7.5100 4.4539 105.03 105.03 40.78
Closest atoms and distances in Å follow each position.
Atoms (fractional coordinates):
Tl 0.1679 0.1679 0.2344  6 H 2.61-2.72
Tl 0.8321 0.8321 0.7656  6 H 2.61-2.72
H 0.1905 0.5830 0.3797  1 Pt 1.60
H 0.2763 0.7237 0.0000  2 Pt 1.83
H 0.3331 0.3331 0.9075  1 Pt 1.64
H 0.4170 0.8095 0.6203  1 Pt 1.60
H 0.5830 0.1905 0.3797  1 Pt 1.60
H 0.6669 0.6669 0.0925  1 Pt 1.64
H 0.7237 0.2763 0.0000  2 Pt 1.83
H 0.8095 0.4170 0.6203  1 Pt 1.60
Pt 0.4357 0.4357 0.1918  3 H 1.60-1.64
Pt 0.5643 0.5643 0.8082  3 H 1.60-1.64

Properties
Space group = C2/m
Electronic total energy = -3.595 eV/atom
Energy relative to the lowest polymorph listed for this composition = 27 meV per atom
Crystal system = monoclinic

No. 21
Tl2H2Pt | PBE | optimized geometry

Lattice parameters (Å, degrees): 4.7188 5.3879 8.1348 107.28 106.54 90.64
Closest atoms and distances in Å follow each position.
Atoms (fractional coordinates):
Tl 0.0640 0.3346 0.1746  1 H 2.73, 1 Pt 3.02
Tl 0.3915 0.1653 0.8269  1 H 2.73, 1 Pt 3.01
Tl 0.6085 0.8347 0.1731  1 H 2.73, 1 Pt 3.01
Tl 0.9360 0.6654 0.8254  1 H 2.73, 1 Pt 3.02
H 0.2434 0.9792 0.4593  2 Pt 1.77-1.78
H 0.2848 0.5166 0.5419  2 Pt 1.77-1.78
H 0.7152 0.4834 0.4581  2 Pt 1.77-1.78
H 0.7566 0.0208 0.5407  2 Pt 1.77-1.78
Pt 0.4990 0.7501 0.5002  4 H 1.77-1.78
Pt 0.5010 0.2499 0.4998  4 H 1.77-1.78

Properties
Space group = P-1
Electronic total energy = -3.515 eV/atom
Energy relative to the lowest polymorph listed for this composition = 0 meV per atom
Crystal system = triclinic